Computed, not measured: crystalline Tb2NdY7 at its relaxed geometry at the GGA-PBE level of DFT.

```
Tb2NdY7
1.0
4.4144 -7.9942 0.0000
4.4144 7.9942 0.0000
0.0000 0.0000 5.6614
Tb Nd Y
2 1 7
Direct
0.2030 0.7970 0.0000 Tb
0.7970 0.2030 0.0000 Tb
0.5000 0.5000 0.5000 Nd
0.0000 0.0000 0.0000 Y
0.2058 0.4393 0.0000 Y
0.2770 0.7230 0.5000 Y
0.4393 0.2058 0.0000 Y
0.5607 0.7942 0.0000 Y
0.7230 0.2770 0.5000 Y
0.7942 0.5607 0.0000 Y
```

Output
The formation energy comes out at 0.69 eV/atom. For the calculated density, the calculation gives 4.5 Mg/m³. The energy above the most stable polymorph in this dataset is 0.478 eV/atom. The calculation puts the volume at 39.96 A^3/atom. The total energy comes out at -5.23 eV per atom.